(1)
A plane-wave DFT calculation with GGA-PBE was carried out for a relaxed CuOsF2 crystal.

Properties
For the energy above the most stable polymorph in this dataset, the calculation gives 398 meV/atom. The formation energy (no corrections) is -0.88 eV per formula unit. The calculation puts the calculated total energy at -4.988 eV/atom.

Lattice parameters (Å, degrees): 2.6606 2.6606 23.6951 90.00 90.00 120.00
Space group R-3m (No. 166, hexagonal axes)
Symmetry-distinct sites (fractional):
Cu (0.0000, 0.0000, 0.0000) x3
Os (0.0000, 0.0000, 0.5000) x3
F (0.0000, 0.0000, 0.0784) x6



(2)
A plane-wave DFT calculation with GGA-PBE was carried out for a relaxed AcNdSm5Er2 crystal.

Properties
The value obtained for the energy of formation from the pure elements is 149 meV per atom. The calculation puts the calculated total energy at -4.473 eV/atom.

Lattice parameters (Å, degrees): 5.5912 24.0883 9.4951 90.00 90.00 90.00
Space group Cmc2_1 (No. 36)
Symmetry-distinct sites (fractional):
Ac (0.0000, 0.1023, 0.0000) x4
Nd (0.0000, 0.2636, 0.6090) x4
Sm (0.0000, 0.0249, 0.3260) x4
Sm (0.0000, 0.1034, 0.6062) x4
Sm (0.0000, 0.1888, 0.3016) x4
Sm (0.0000, 0.2413, 0.9329) x4
Sm (0.0000, 0.4925, 0.1056) x4
Er (0.0000, 0.3285, 0.2453) x4
Er (0.0000, 0.3879, 0.8642) x4



(3)
A plane-wave DFT calculation with GGA-PBE was carried out for a relaxed Cs2KAs2 crystal.

Properties
For the energy above the most stable polymorph in this dataset, the calculation gives 48 meV/atom. The value obtained for the energy of formation from the pure elements is -313 meV per atom. The calculation puts the calculated total energy at -2.734 eV/atom.

Lattice parameters (Å, degrees): 8.6152 8.6152 5.7088 90.00 90.00 90.00
Space group P4/mbm (No. 127)
Symmetry-distinct sites (fractional):
Cs (0.1698, 0.3302, 0.0000) x4
K (0.0000, 0.0000, 0.5000) x2
As (0.1000, 0.6000, 0.5000) x4



(4)
A plane-wave DFT calculation with GGA-PBE was carried out for a relaxed Tb2YGa2Ag2 crystal.

Properties
The value obtained for the energy of formation from the pure elements is -379 meV per atom. The calculation puts the calculated total energy at -4.305 eV/atom.

Lattice parameters (Å, degrees): 4.6056 4.6056 26.9751 90.00 90.00 120.00
Space group R-3m (No. 166, hexagonal axes)
Symmetry-distinct sites (fractional):
Tb (0.0000, 0.0000, 0.1257) x6
Y (0.0000, 0.0000, 0.0000) x3
Ga (0.0000, 0.0000, 0.2588) x6
Ag (0.0000, 0.0000, 0.3978) x6



(5)
A plane-wave DFT calculation with GGA-PBE was carried out for a relaxed HfZrIr2W crystal.

Properties
The value obtained for the energy of formation from the pure elements is 925 meV per atom. The calculation puts the calculated total energy at -8.910 eV/atom.

Lattice parameters (Å, degrees): 4.7628 4.7628 4.8947 90.00 90.00 90.00
Space group P4/mmm (No. 123)
Symmetry-distinct sites (fractional):
Hf (0.0000, 0.0000, 0.0000) x1
Zr (0.5000, 0.5000, 0.0000) x1
Ir (0.0000, 0.5000, 0.5000) x2
W (0.0000, 0.0000, 0.5000) x1



(6)
A plane-wave DFT calculation with GGA-PBE was carried out for a relaxed Si23I4 crystal.

Properties
The formation energy (no corrections) is 2.92 eV per formula unit. The calculation puts the calculated total energy at -4.741 eV/atom.

Lattice parameters (Å, degrees): 10.3257 10.3257 10.3257 90.00 90.00 90.00
Space group Pm-3n (No. 223)
Symmetry-distinct sites (fractional):
Si (0.0000, 0.1173, 0.3082) x24
Si (0.0000, 0.2500, 0.5000) x6
Si (0.1837, 0.1837, 0.1837) x16
I (0.0000, 0.0000, 0.0000) x2
I (0.0000, 0.5000, 0.2500) x6



(7)
A plane-wave DFT calculation with GGA-PBE was carried out for a relaxed Cs2Na3Bi2 crystal.

Properties
The value obtained for the energy of formation from the pure elements is -312 meV per atom. The calculation puts the calculated total energy at -2.230 eV/atom.

Lattice parameters (Å, degrees): 14.4170 5.4930 8.9962 90.00 117.37 90.00
Space group C2/m (No. 12)
Symmetry-distinct sites (fractional):
Cs (0.1502, 0.0000, 0.2799) x4
Na (0.0000, 0.5000, 0.5000) x2
Na (0.1623, 0.5000, 0.9225) x4
Bi (0.1235, 0.0000, 0.7124) x4



(8)
A plane-wave DFT calculation with GGA-PBE was carried out for a relaxed Be2TcP crystal.

Properties
The value obtained for the energy of formation from the pure elements is 391 meV per atom. The calculation puts the calculated total energy at -5.416 eV/atom.

Lattice parameters (Å, degrees): 2.9168 4.5106 7.3998 90.00 90.00 90.00
Space group Cmm2 (No. 35)
Symmetry-distinct sites (fractional):
Be (0.0000, 0.0000, 0.0000) x2
Be (0.0000, 0.5000, 0.2364) x2
Tc (0.0000, 0.5000, 0.7416) x2
P (0.0000, 0.0000, 0.4843) x2



Among the records above, which one has the lowest calculated total energy?
HfZrIr2W